No. 1
A relaxed Li5HBr4 crystal, computed with PBE.

* mass density: 2.562 g/cm³
* calculated total energy: -3.213 eV/atom
* space group: R3m, No. 160
* Fermi-level density of states: 0.00 states/eV per cell

Cell: 4.0409 4.0409 16.4508 Å, 82.95 82.95 60.00°
With the nearest neighbours (Å) after each atom.
Element x y z (fractional)
Br  0.7477  0.7477  0.7568  4 Li 2.52-2.55
Br  0.1525  0.1525  0.5425  4 Li 2.52-2.54
Br  0.5571  0.5571  0.3287  4 Li 2.51-2.52
Br  0.3428  0.3428  0.9717  4 Li 2.52-2.55
Li  0.9898  0.9898  0.0305  1 H 1.85
Li  0.7999  0.7999  0.6004  4 Br 2.52-2.55
Li  0.3950  0.3950  0.8151  4 Br 2.52-2.55
Li  0.2046  0.2046  0.3863  4 Br 2.51-2.54
Li  0.6087  0.6087  0.1738  3 H 2.38, 1 Br 2.52
H  0.9519  0.9519  0.1442  1 Li 1.85


No. 2
A relaxed Nd3Tm7 crystal, computed with PBE.

* mass density: 8.395 g/cm³
* space group: P6_3mc, No. 186
* Fermi-level density of states: 30.69 states/eV per cell
* DFT formation energy: 1.8 eV/f.u.

Cell: 6.4437 10.7012 10.7012 Å, 120.00 90.00 90.00°
With the nearest neighbours (Å) after each atom.
Element x y z (fractional)
Tm  0.2089  0.4714  0.9428  5 Tm 3.25-3.63, 4 Nd 3.33-3.35
Tm  0.2089  0.0572  0.5286  5 Tm 3.25-3.63, 4 Nd 3.33-3.35
Tm  0.8857  0.8784  0.7568  4 Nd 3.27-3.66, 2 Tm 3.63
Tm  0.3857  0.7568  0.8784  4 Nd 3.27-3.66, 2 Tm 3.63
Tm  0.5210  0.3333  0.6667  3 Tm 3.25, 3 Nd 3.30
Tm  0.0210  0.6667  0.3333  3 Tm 3.25, 3 Nd 3.30
Tm  0.7089  0.5286  0.0572  5 Tm 3.25-3.63, 4 Nd 3.33-3.35
Tm  0.8857  0.2432  0.1216  4 Nd 3.27-3.66, 2 Tm 3.63
Tm  0.7089  0.9428  0.4714  5 Tm 3.25-3.63, 4 Nd 3.33-3.35
Tm  0.2089  0.4714  0.5286  5 Tm 3.25-3.63, 4 Nd 3.33-3.35
Tm  0.3857  0.1216  0.8784  4 Nd 3.27-3.66, 2 Tm 3.63
Tm  0.3857  0.1216  0.2432  4 Nd 3.27-3.66, 2 Tm 3.63
Tm  0.8857  0.8784  0.1216  4 Nd 3.27-3.66, 2 Tm 3.63
Tm  0.7089  0.5286  0.4714  5 Tm 3.25-3.63, 4 Nd 3.33-3.35
Nd  0.3678  0.7976  0.5952  9 Tm 3.27-3.66
Nd  0.8678  0.2024  0.7976  9 Tm 3.27-3.66
Nd  0.3678  0.4048  0.2024  9 Tm 3.27-3.66
Nd  0.3678  0.7976  0.2024  9 Tm 3.27-3.66
Nd  0.8678  0.5952  0.7976  9 Tm 3.27-3.66
Nd  0.8678  0.2024  0.4048  9 Tm 3.27-3.66


No. 3
A relaxed AlZn3F crystal, computed with PBE.

* mass density: 3.509 g/cm³
* calculated total energy: -1.918 eV/atom
* space group: Pm-3m, No. 221
* Fermi-level density of states: 0.55 states/eV per cell

Cell: 4.8574 4.8574 4.8574 Å, 90.00 90.00 90.00°
With the nearest neighbours (Å) after each atom.
Element x y z (fractional)
Zn  0.5000  0.0000  0.0000  2 Al 2.43
Zn  0.0000  0.0000  0.5000  2 Al 2.43
Zn  0.0000  0.5000  0.0000  2 Al 2.43
F  0.5000  0.5000  0.5000  12 Zn 3.43
Al  0.0000  0.0000  0.0000  6 Zn 2.43


No. 4
A relaxed Nd8Sb5Se crystal, computed with PBE.

* mass density: 7.274 g/cm³
* calculated total energy: -5.569 eV/atom
* space group: I-4, No. 82
* Fermi-level density of states: 14.57 states/eV per cell

Cell: 8.1745 8.1745 8.1745 Å, 109.86 108.69 109.86°
With the nearest neighbours (Å) after each atom.
Element x y z (fractional)
Nd  0.6288  0.3919  0.8768  5 Sb 3.13-3.42, 1 Se 3.45
Nd  0.7631  0.2480  0.3712  5 Sb 3.13-3.42, 1 Se 3.45
Nd  0.4850  0.6081  0.2369  5 Sb 3.13-3.42, 1 Se 3.45
Nd  0.6091  0.8802  0.8703  1 Se 3.02, 2 Sb 3.15-3.17
Nd  0.1232  0.7520  0.5150  5 Sb 3.13-3.42, 1 Se 3.45
Nd  0.2711  0.2612  0.3909  1 Se 3.02, 2 Sb 3.15-3.17
Nd  0.9901  0.1198  0.7289  1 Se 3.02, 2 Sb 3.15-3.17
Nd  0.1297  0.7388  0.0099  1 Se 3.02, 2 Sb 3.15-3.17
Sb  0.3712  0.1268  0.0030  8 Nd 3.15-3.44
Sb  0.7556  0.6318  0.6288  8 Nd 3.15-3.44
Sb  0.9970  0.3682  0.1238  8 Nd 3.15-3.44
Sb  0.8762  0.8732  0.2444  8 Nd 3.15-3.44
Sb  0.5000  0.0000  0.5000  8 Nd 3.13-3.43
Se  0.2500  0.5000  0.7500  4 Nd 3.02


No. 5
A relaxed Dy8HoTh2 crystal, computed with PBE.

* mass density: 8.935 g/cm³
* space group: C2/m, No. 12
* Fermi-level density of states: 15.71 states/eV per cell
* DFT formation energy: 2.0 eV/f.u.

Cell: 6.6213 6.5884 8.9673 Å, 111.55 99.14 90.00°
With the nearest neighbours (Å) after each atom.
Element x y z (fractional)
Dy  0.4027  0.8264  0.1735  4 Dy 3.16-3.49, 2 Th 3.27-3.40, 1 Ho 3.29
Dy  0.1840  0.8014  0.6028  4 Th 3.39-3.60, 3 Dy 3.49-3.69, 1 Ho 3.72
Dy  0.4027  0.3471  0.1735  4 Dy 3.16-3.49, 2 Th 3.27-3.40, 1 Ho 3.29
Dy  0.8160  0.1986  0.3972  4 Th 3.39-3.60, 3 Dy 3.49-3.69, 1 Ho 3.72
Dy  0.5973  0.1736  0.8265  4 Dy 3.16-3.49, 2 Th 3.27-3.40, 1 Ho 3.29
Dy  0.5973  0.6529  0.8265  4 Dy 3.16-3.49, 2 Th 3.27-3.40, 1 Ho 3.29
Dy  0.9033  0.5905  0.1811  1 Th 3.36, 8 Dy 3.48-3.69, 2 Ho 3.72
Dy  0.0967  0.4095  0.8189  1 Th 3.36, 8 Dy 3.48-3.69, 2 Ho 3.72
Ho  0.0000  0.0000  0.0000  4 Dy 3.29
Th  0.6651  0.7528  0.5057  9 Dy 3.27-3.60
Th  0.3349  0.2472  0.4943  9 Dy 3.27-3.60


No. 6
A relaxed PmHfNb crystal, computed with PBE.

* mass density: 9.193 g/cm³
* space group: Cmcm, No. 63
* Fermi-level density of states: 9.06 states/eV per cell
* DFT formation energy: 0.4 eV/f.u.

Cell: 3.3737 3.3771 13.3102 Å, 82.71 90.00 90.00°
With the nearest neighbours (Å) after each atom.
Element x y z (fractional)
Nb  0.7500  0.7220  0.5560  4 Nb 2.81, 4 Hf 2.97
Nb  0.2500  0.2780  0.4440  4 Nb 2.81, 4 Hf 2.97
Hf  0.2500  0.1551  0.6898  5 Nb 2.97-3.24
Hf  0.7500  0.8449  0.3102  5 Nb 2.97-3.24
Pm  0.7500  0.5619  0.8762  6 Pm 3.37-3.68, 4 Hf 3.43
Pm  0.2500  0.4381  0.1238  6 Pm 3.37-3.68, 4 Hf 3.43


No. 7
A relaxed CdAgBi crystal, computed with PBE.

* mass density: 9.832 g/cm³
* space group: I4mm, No. 107
* Fermi-level density of states: 1.13 states/eV per cell
* DFT formation energy: 0.2 eV/f.u.

Cell: 3.3224 3.3224 6.9754 Å, 103.78 103.78 90.00°
With the nearest neighbours (Å) after each atom.
Element x y z (fractional)
Bi  0.0083  0.0083  0.0166  4 Ag 3.23, 4 Bi 3.32, 4 Cd 3.47
Cd  0.3142  0.3142  0.6284  4 Ag 2.96
Ag  0.6775  0.6775  0.3550  4 Cd 2.96, 4 Bi 3.23


No. 8
A relaxed AlTe2PdI crystal, computed with PBE.

* mass density: 5.402 g/cm³
* calculated total energy: -3.061 eV/atom
* space group: P4/mmm, No. 123
* Fermi-level density of states: 5.90 states/eV per cell

Cell: 5.3127 5.3127 5.6140 Å, 90.00 90.00 90.00°
With the nearest neighbours (Å) after each atom.
Element x y z (fractional)
Pd  0.0000  0.0000  0.0000  4 Te 2.66, 2 I 2.81
Te  0.5000  0.0000  0.0000  2 Pd 2.66
Te  0.0000  0.5000  0.0000  2 Pd 2.66
Al  0.5000  0.5000  0.5000  4 I 3.76, 8 Te 3.86
I  0.0000  0.0000  0.5000  2 Pd 2.81


No. 9
A relaxed ErInHgIr crystal, computed with PBE.

* mass density: 13.537 g/cm³
* space group: F-43m, No. 216
* Fermi-level density of states: 1.88 states/eV per cell
* DFT formation energy: -1.3 eV/f.u.

Cell: 4.8920 4.8920 4.8920 Å, 60.00 60.00 60.00°
With the nearest neighbours (Å) after each atom.
Element x y z (fractional)
Hg  0.5000  0.5000  0.5000  4 In 3.00, 4 Er 3.00
Er  0.7500  0.7500  0.7500  4 Ir 3.00, 4 Hg 3.00
In  0.2500  0.2500  0.2500  4 Hg 3.00, 4 Ir 3.00
Ir  0.0000  0.0000  0.0000  4 In 3.00, 4 Er 3.00


No. 10
A relaxed MgTl2Te crystal, computed with PBE.

* mass density: 8.023 g/cm³
* calculated total energy: -2.334 eV/atom
* space group: Cmmm, No. 65
* Fermi-level density of states: 2.06 states/eV per cell

Cell: 3.3568 3.3568 10.7478 Å, 90.00 90.00 106.63°
With the nearest neighbours (Å) after each atom.
Element x y z (fractional)
Mg  0.5000  0.5000  0.2500  4 Tl 3.25, 4 Mg 3.36
Tl  0.0000  0.0000  0.4884  2 Mg 3.25, 4 Tl 3.36, 2 Te 3.45
Tl  0.0000  0.0000  0.0116  2 Mg 3.25, 4 Tl 3.36, 2 Te 3.45
Te  0.5000  0.5000  0.7500  4 Te 3.36, 4 Tl 3.45


No. 11
A relaxed Pu5Ir2 crystal, computed with PBE.

* mass density: 17.018 g/cm³
* space group: Ibam, No. 72
* Fermi-level density of states: 69.15 states/eV per cell
* DFT formation energy: -1.4 eV/f.u.

Cell: 5.7420 7.7864 8.5112 Å, 117.22 109.71 90.00°
With the nearest neighbours (Å) after each atom.
Element x y z (fractional)
Pu  0.4727  0.7227  0.4455  3 Pu 2.87-3.12, 4 Ir 3.04-3.08
Pu  0.5273  0.2773  0.5545  3 Pu 2.87-3.12, 4 Ir 3.04-3.08
Pu  0.0868  0.2426  0.1737  4 Ir 2.88-2.95
Pu  0.4132  0.0689  0.8263  4 Ir 2.88-2.95
Pu  0.5868  0.9311  0.1737  4 Ir 2.88-2.95
Pu  0.9727  0.7227  0.4455  3 Pu 2.87-3.12, 4 Ir 3.04-3.08
Pu  0.0273  0.2773  0.5545  3 Pu 2.87-3.12, 4 Ir 3.04-3.08
Pu  0.2500  0.5000  0.0000  4 Pu 2.87-3.12, 4 Ir 3.18
Pu  0.7500  0.5000  0.0000  4 Pu 2.87-3.12, 4 Ir 3.18
Pu  0.9132  0.7574  0.8263  4 Ir 2.88-2.95
Ir  0.3786  0.6698  0.7573  10 Pu 2.88-3.18
Ir  0.6214  0.3302  0.2427  10 Pu 2.88-3.18
Ir  0.1214  0.9126  0.2427  10 Pu 2.88-3.18
Ir  0.8786  0.0874  0.7573  10 Pu 2.88-3.18


No. 12
A relaxed MgNbNO2 crystal, computed with PBE.

* mass density: 5.168 g/cm³
* calculated total energy: -6.451 eV/atom
* space group: P4/mmm, No. 123
* Fermi-level density of states: 2.03 states/eV per cell

Cell: 3.6253 3.6253 3.9907 Å, 90.00 90.00 90.00°
With the nearest neighbours (Å) after each atom.
Element x y z (fractional)
Mg  0.0000  0.0000  0.0000  4 O 1.81, 2 N 2.00
N  0.0000  0.0000  0.5000  2 Mg 2.00
O  0.0000  0.5000  0.0000  2 Mg 1.81
O  0.5000  0.0000  0.0000  2 Mg 1.81
Nb  0.5000  0.5000  0.5000  4 N 2.56, 8 O 2.70


- Which value of Fermi-level density of states does entry 5 give?
  15.71 states/eV per cell